No. 1
Material: TbThTaN3
Method: DFT, PBE
State: optimized geometry

Geometry as POSCAR:
```
TbThTaN3
1.0
7.3770 0.0000 0.0000
0.0000 3.4722 0.0000
-0.1773 0.0000 7.8234
Tb Th Ta N
2 2 2 6
direct
0.1348 0.2500 0.3577
0.8652 0.7500 0.6423
0.3989 0.7500 0.6818
0.6011 0.2500 0.3182
0.1220 0.2500 0.9208
0.8780 0.7500 0.0792
0.1178 0.2500 0.6590
0.1779 0.7500 0.0452
0.3748 0.7500 0.3908
0.6252 0.2500 0.6092
0.8221 0.2500 0.9548
0.8822 0.7500 0.3410
```

## Properties
- VASP energy (eV per atom) = -9.26
- crystal system = monoclinic

---

No. 2
Material: La2InI
Method: DFT, PBE
State: optimized geometry

Geometry as POSCAR:
```
La2InI
1.0
4.1071 0.0000 0.0000
-2.0535 3.5568 0.0000
0.0000 0.0000 28.1865
La In I
6 3 3
direct
0.0000 0.0000 0.2472
0.0000 0.0000 0.7528
0.3333 0.6667 0.4194
0.3333 0.6667 0.9139
0.6667 0.3333 0.0861
0.6667 0.3333 0.5806
0.0000 0.0000 0.5000
0.3333 0.6667 0.1667
0.6667 0.3333 0.8333
0.0000 0.0000 0.0000
0.3333 0.6667 0.6667
0.6667 0.3333 0.3333
```

## Properties
- VASP energy (eV per atom) = -4.22
- crystal system = trigonal

---

No. 3
Material: Ta3V
Method: DFT, PBE
State: optimized geometry

Geometry as POSCAR:
```
Ta3V
1.0
2.6813 0.0000 0.0000
0.0000 4.8255 0.0000
0.0000 0.0000 5.4432
Ta V
3 1
direct
0.0000 0.0000 0.0000
0.0000 0.5000 0.2722
0.5000 0.5000 0.7613
0.5000 0.0000 0.4999
```

## Properties
- ΔH_f (0 K) (eV/f.u.) = 1.03
- crystal system = orthorhombic